[1]
{
  "formula": "TlHgNO",
  "functional": "PBE-GGA",
  "state": "optimized geometry",
  "lattice_angstrom": [[3.7236, 0.0000, 0.0000], [0.0000, 6.4559, 0.0000], [0.0000, 0.0000, 6.0430]],
  "species": ["Tl", "Tl", "Hg", "Hg", "N", "N", "O", "O"],
  "frac_coords": [[0.0000, 0.1725, 0.0000], [0.0000, 0.8275, 0.5000], [0.5000, 0.3518, 0.5131], [0.5000, 0.6482, 0.0131], [0.5000, 0.3215, 0.8849], [0.5000, 0.6785, 0.3849], [0.0000, 0.1555, 0.3734], [0.0000, 0.8445, 0.8734]],
  "final_energy_ev_per_atom": -3.66,
  "crystal_system": "orthorhombic",
  "e_above_lowest_polymorph_ev_per_atom": 0.0000
}


[2]
{
  "formula": "TlHgNO",
  "functional": "PBE-GGA",
  "state": "optimized geometry",
  "lattice_angstrom": [[4.6219, 0.0000, 0.0000], [0.0000, 4.6219, 0.0000], [0.0000, 0.0000, 6.2497]],
  "species": ["Tl", "Tl", "Hg", "Hg", "N", "N", "O", "O"],
  "frac_coords": [[0.2500, 0.2500, 0.0929], [0.7500, 0.7500, 0.9071], [0.2500, 0.7500, 0.5000], [0.7500, 0.2500, 0.5000], [0.2500, 0.2500, 0.4595], [0.7500, 0.7500, 0.5405], [0.2500, 0.7500, 0.0000], [0.7500, 0.2500, 0.0000]],
  "final_energy_ev_per_atom": -3.52,
  "crystal_system": "tetragonal",
  "e_above_lowest_polymorph_ev_per_atom": 0.1444
}


[3]
{
  "formula": "TmHgNO",
  "functional": "PBE-GGA",
  "state": "optimized geometry",
  "lattice_angstrom": [[6.3412, 0.0000, 0.0000], [0.0000, 7.5172, 0.0000], [0.0000, 0.0000, 5.7510]],
  "species": ["Tm", "Tm", "Tm", "Tm", "Hg", "Hg", "Hg", "Hg", "N", "N", "N", "N", "O", "O", "O", "O"],
  "frac_coords": [[0.0704, 0.1369, 0.0000], [0.4296, 0.1369, 0.5000], [0.5704, 0.8631, 0.0000], [0.9296, 0.8631, 0.5000], [0.0579, 0.6545, 0.0121], [0.4421, 0.6545, 0.5121], [0.5579, 0.3455, 0.0121], [0.9421, 0.3455, 0.5121], [0.1021, 0.1011, 0.6192], [0.3979, 0.1011, 0.1192], [0.6021, 0.8989, 0.6192], [0.8979, 0.8989, 0.1192], [0.0798, 0.6192, 0.5892], [0.4202, 0.6192, 0.0892], [0.5798, 0.3808, 0.5892], [0.9202, 0.3808, 0.0892]],
  "final_energy_ev_per_atom": -5.58,
  "crystal_system": "orthorhombic",
  "total_magnetization_mub_per_cell": 0.0,
  "e_above_lowest_polymorph_ev_per_atom": 0.1604
}